No. 1
Density functional theory data (GGA-PBEsol) for a relaxed structure of AlHg2Au.

```
AlHg2Au
1.0
2.813 0.000 0.000
0.000 3.514 0.000
0.000 0.000 7.968
Al Hg Au
1 2 1
Cartesian
0.000 0.000 0.000
0.000 0.000 3.575
1.406 1.757 5.898
1.406 1.757 1.432
```

Results
Space group: Pmm2, No. 25
Mass density (Mg/m³): 13.18
D(E_F) (states/eV/atom): 0.33
E_tot (eV/atom): -2.340
Spin magnetization (μB per formula unit): 0.000
Formation energy from the elements (eV/atom): -0.05

No. 2
Density functional theory data (GGA-PBEsol) for a relaxed structure of AlHgAu.

```
AlHgAu
1.0
0.000 3.151 3.151
3.151 0.000 3.151
3.151 3.151 0.000
Al Hg Au
1 1 1
Cartesian
0.000 0.000 0.000
4.726 4.726 4.726
3.151 3.151 3.151
```

Results
Space group: F-43m, No. 216
Mass density (Mg/m³): 11.27
D(E_F) (states/eV/atom): 0.43
ΔE to the lowest computed polymorph (eV/atom): 0.182
E_tot (eV/atom): -2.734
Spin magnetization (μB per formula unit): 0.000
Formation energy from the elements (eV/atom): 0.13

No. 3
Density functional theory data (GGA-PBEsol) for a relaxed structure of Al2HgAu.

```
Al2HgAu
1.0
0.000 3.330 3.330
3.330 0.000 3.330
3.330 3.330 0.000
Al Hg Au
2 1 1
Cartesian
0.000 0.000 0.000
1.665 1.665 1.665
3.330 3.330 3.330
4.995 4.995 4.995
```

Results
Space group: F-43m, No. 216
Mass density (Mg/m³): 10.15
D(E_F) (states/eV/atom): 0.47
ΔE to the lowest computed polymorph (eV/atom): 0.264
E_tot (eV/atom): -3.045
Spin magnetization (μB per formula unit): 0.000
Formation energy from the elements (eV/atom): 0.12

No. 4
Density functional theory data (GGA-PBEsol) for a relaxed structure of AlHgAu.

```
AlHgAu
1.0
4.258 0.000 0.000
-2.129 3.688 0.000
0.000 0.000 3.730
Al Hg Au
1 1 1
Cartesian
0.000 0.000 0.000
2.129 1.229 2.209
0.000 2.459 0.639
```

Results
Space group: P3m1, No. 156
Mass density (Mg/m³): 12.04
D(E_F) (states/eV/atom): 0.38
ΔE to the lowest computed polymorph (eV/atom): 0.000
E_tot (eV/atom): -2.915
Spin magnetization (μB per formula unit): 0.000
Formation energy from the elements (eV/atom): -0.05

No. 5
Density functional theory data (GGA-PBEsol) for a relaxed structure of Al2HgAu.

```
Al2HgAu
1.0
2.950 -3.892 0.000
2.950 3.892 0.000
0.000 0.000 3.063
Al Hg Au
2 1 1
Cartesian
1.475 1.946 0.000
1.475 -1.946 0.000
0.000 0.000 1.532
2.950 0.000 1.532
```

Results
Space group: Cmmm, No. 65
Mass density (Mg/m³): 10.66
D(E_F) (states/eV/atom): 0.35
ΔE to the lowest computed polymorph (eV/atom): 0.122
E_tot (eV/atom): -3.187
Spin magnetization (μB per formula unit): 0.000
Formation energy from the elements (eV/atom): -0.02

No. 6
Density functional theory data (GGA-PBEsol) for a relaxed structure of Al2HgAu.

```
Al2HgAu
1.0
3.117 0.000 0.000
0.000 2.941 0.000
-0.030 0.000 8.080
Al Hg Au
2 1 1
Cartesian
0.002 0.000 1.694
3.085 0.000 6.386
-0.015 1.471 4.040
1.559 1.471 0.000
```

Results
Space group: P2/m, No. 10
Mass density (Mg/m³): 10.12
D(E_F) (states/eV/atom): 0.35
ΔE to the lowest computed polymorph (eV/atom): 0.000
E_tot (eV/atom): -3.309
Spin magnetization (μB per formula unit): 0.000
Formation energy from the elements (eV/atom): -0.14

No. 7
Density functional theory data (GGA-PBEsol) for a relaxed structure of AlHg2Au.

```
AlHg2Au
1.0
1.630 0.941 8.430
-1.630 0.941 8.430
0.000 -1.882 8.430
Al Hg Au
1 2 1
Cartesian
0.000 0.000 0.000
0.000 0.000 6.364
0.000 0.000 18.927
0.000 0.000 12.646
```

Results
Space group: R-3m, No. 166
Mass density (Mg/m³): 13.37
D(E_F) (states/eV/atom): 0.34
E_tot (eV/atom): -2.232
Spin magnetization (μB per formula unit): 0.000
Formation energy from the elements (eV/atom): 0.06

No. 8
Density functional theory data (GGA-PBEsol) for a relaxed structure of AlHgAu2.

```
AlHgAu2
1.0
1.572 0.907 8.440
-1.572 0.907 8.440
0.000 -1.815 8.440
Al Hg Au
1 1 2
Cartesian
0.000 0.000 0.000
0.000 0.000 12.661
0.000 0.000 6.584
0.000 0.000 18.737
```

Results
Space group: R-3m, No. 166
Mass density (Mg/m³): 14.29
D(E_F) (states/eV/atom): 0.30
E_tot (eV/atom): -3.308
Spin magnetization (μB per formula unit): 0.000
Formation energy from the elements (eV/atom): -0.18